V2CuAgO6 | GGA+U | relaxed

Results
**SG**: C2/c, No. 15
**Uncorrected energy**: -6.527 eV per atom

```
V2CuAgO6
1.0
5.388 -5.175 0.000
5.388 5.175 0.000
-2.338 0.000 5.339
V Cu Ag O
4 2 2 12
direct
0.099 0.272 0.203
0.272 0.099 0.703
0.728 0.901 0.297
0.901 0.728 0.797
0.290 0.710 0.250
0.710 0.290 0.750
0.401 0.599 0.750
0.599 0.401 0.250
0.108 0.173 0.456
0.119 0.657 0.913
0.173 0.108 0.956
0.259 0.460 0.325
0.343 0.881 0.587
0.460 0.259 0.825
0.540 0.741 0.175
0.657 0.119 0.413
0.741 0.540 0.675
0.827 0.892 0.044
0.881 0.343 0.087
0.892 0.827 0.544
```

***

VCu2AgO4 | GGA+U | relaxed

Results
**SG**: Fmm2, No. 42
**Uncorrected energy**: -5.725 eV per atom
**DOS at the Fermi energy**: 2.87 states/eV per cell

```
VCu2AgO4
1.0
0.000 3.545 4.089
3.544 0.000 4.089
3.544 3.545 0.000
V Cu Ag O
1 2 1 4
direct
0.000 0.000 0.000
0.249 0.249 0.251
0.749 0.749 0.751
0.499 0.499 0.501
0.070 0.668 0.930
0.332 0.930 0.070
0.668 0.070 0.332
0.930 0.332 0.668
```

***

Q: Which of these has the highest uncorrected energy?
A: VCu2AgO4